a | # Sm6HgRh3

Sm6HgRh3 after structural relaxation (PBE, Alexandria).

## Properties
- size of the total moment (μB/atom) = 0.000

a = 11.968 Å, b = 4.148 Å, c = 11.974 Å
α = 90.00°, β = 108.58°, γ = 90.00°
Space group P2_1/m (No. 11)
Asymmetric unit:
Sm  0.041  0.250  0.358
Sm  0.105  0.750  0.967
Sm  0.235  0.250  0.791
Sm  0.270  0.750  0.278
Sm  0.401  0.250  0.564
Sm  0.453  0.250  0.111
Hg  0.194  0.750  0.558
Rh  0.009  0.750  0.187
Rh  0.335  0.750  0.955
Rh  0.432  0.250  0.342

b | # Sm6HgRh3

Sm6HgRh3 after structural relaxation (PBE, Alexandria).

## Properties
- size of the total moment (μB/atom) = 0.000

a = 11.001 Å, b = 13.933 Å, c = 7.357 Å
α = 90.00°, β = 90.00°, γ = 90.00°
Space group Cmc2_1 (No. 36)
Asymmetric unit:
Sm  0.000  0.013  0.000
Sm  0.000  0.225  0.674
Sm  0.165  0.467  0.592
Sm  0.194  0.283  0.017
Hg  0.000  0.188  0.269
Rh  0.000  0.401  0.874
Rh  0.187  0.105  0.789

We find a to be the most stable, with the next structure 78 meV per atom higher.

a | # Sm3Hg3Rh2

Sm3Hg3Rh2 after structural relaxation (PBE, Alexandria).

## Properties
- size of the total moment (μB/atom) = 0.000

a = 7.6557 Å, b = 7.6557 Å, c = 3.7387 Å
α = 90.00°, β = 90.00°, γ = 120.00°
Space group P-62m (No. 189)
Asymmetric unit:
Sm  0.0000  0.4193  0.0000
Hg  0.0000  0.7650  0.5000
Rh  0.3333  0.6667  0.5000

b | # Sm3Hg3Rh2

Sm3Hg3Rh2 after structural relaxation (PBE, Alexandria).

## Properties
- size of the total moment (μB/atom) = 0.000

a = 17.386 Å, b = 4.374 Å, c = 5.186 Å
α = 90.00°, β = 100.59°, γ = 90.00°
Space group C2/m (No. 12)
Asymmetric unit:
Sm  0.000  0.000  0.000
Sm  0.167  0.000  0.598
Hg  0.000  0.500  0.500
Hg  0.130  0.500  0.093
Rh  0.231  0.000  0.142

We find a to be the most stable, with the next structure 102 meV per atom higher.

a | # Sm6HgRh2

Sm6HgRh2 after structural relaxation (PBE, Alexandria).

## Properties
- size of the total moment (μB/atom) = 0.000

a = 9.504 Å, b = 9.880 Å, c = 10.533 Å
α = 90.00°, β = 90.00°, γ = 90.00°
Space group Immm (No. 71)
Asymmetric unit:
Sm  0.000  0.199  0.236
Sm  0.193  0.500  0.171
Sm  0.212  0.320  0.500
Hg  0.000  0.000  0.000
Hg  0.000  0.000  0.500
Rh  0.000  0.337  0.000
Rh  0.000  0.500  0.368

b | # Sm6HgRh2

Sm6HgRh2 after structural relaxation (PBE, Alexandria).

## Properties
- size of the total moment (μB/atom) = 0.000

a = 10.316 Å, b = 5.135 Å, c = 9.251 Å
α = 90.00°, β = 101.15°, γ = 90.00°
Space group C2/m (No. 12)
Asymmetric unit:
Sm  0.036  0.000  0.344
Sm  0.158  0.500  0.891
Sm  0.211  0.500  0.334
Hg  0.000  0.000  0.000
Rh  0.123  0.500  0.600

We find a to be the most stable, with the next structure 92 meV per atom higher.